Entry 1:
Tm6InBi | GGA-PBE | optimized geometry

The space group is Cmmm (No. 65) and the conventional cell measures 9.105, 9.379 and 5.371 Å, with angles of 90.00, 90.00 and 90.00 degrees. Symmetry generates all atoms from Tm at (0.000, 0.190, 0.000), Tm at (0.194, 0.500, 0.000), Tm at (0.250, 0.250, 0.500), In at (0.000, 0.000, 0.500) and Bi at (0.000, 0.500, 0.500).

The uncorrected energy is -4.445 eV per atom. The calculation puts the density of states at the Fermi level at 1.07 states/eV/atom. The calculation puts the formation energy from the elements at -0.264 eV/atom.



Entry 2:
Cs2GaAs2 | GGA-PBE | optimized geometry

The space group is P4/mbm (No. 127) and the conventional cell measures 7.521, 7.521 and 6.032 Å, with angles of 90.00, 90.00 and 90.00 degrees. Symmetry generates all atoms from Cs at (0.179, 0.321, 0.000), Ga at (0.000, 0.000, 0.500) and As at (0.115, 0.615, 0.500).

Its energy above the most stable polymorph in this dataset is 0.226 eV/atom. The uncorrected energy is -2.979 eV per atom. The calculation puts the density of states at the Fermi level at 0.53 states/eV/atom. The calculation puts the formation energy from the elements at -0.173 eV/atom.



Entry 3:
K2Zn2Pt | GGA-PBE | optimized geometry

The space group is P4/mbm (No. 127) and the conventional cell measures 6.878, 6.878 and 5.619 Å, with angles of 90.00, 90.00 and 90.00 degrees. Symmetry generates all atoms from K at (0.178, 0.322, 0.000), Zn at (0.168, 0.668, 0.500) and Pt at (0.000, 0.000, 0.500).

The uncorrected energy is -2.230 eV per atom. The calculation puts the density of states at the Fermi level at 0.37 states/eV/atom. The calculation puts the formation energy from the elements at -0.074 eV/atom.